A relaxed SrBiSe2 crystal. Source: the Alexandria database, functional PBE-GGA.

a = 6.134 Å, b = 5.037 Å, c = 17.561 Å
α = 90.00°, β = 90.00°, γ = 90.00°
Positions (direct):
Sr: 0.249 0.250 0.070
Sr: 0.251 0.750 0.570
Sr: 0.749 0.250 0.430
Sr: 0.751 0.750 0.930
Bi: 0.249 0.750 0.347
Bi: 0.251 0.250 0.847
Bi: 0.749 0.750 0.153
Bi: 0.751 0.250 0.653
Se: 0.249 0.250 0.434
Se: 0.249 0.750 0.172
Se: 0.251 0.250 0.672
Se: 0.251 0.750 0.934
Se: 0.749 0.250 0.066
Se: 0.749 0.750 0.328
Se: 0.751 0.250 0.828
Se: 0.751 0.750 0.566

ΔE_f (raw) = -0.983 eV per atom